# 1
LiTlAu2 | meta-GGA SCAN | PBEsol geometry

Cell lengths 3.174, 3.807, 5.968 Å; angles 90.00, 90.00, 90.00 degrees
Element x y z (fractional)
Li1 0.000 0.000 0.000
Tl1 0.500 0.500 0.283
Au1 0.000 0.000 0.554
Au2 0.500 0.500 0.798

For the mass density, the calculation gives 13.9 g/cm³. The raw total energy comes out at -53.53 eV per atom.

# 2
CaMg2MoCl | meta-GGA SCAN | PBEsol geometry

Cell lengths 5.331, 5.331, 4.502 Å; angles 90.00, 90.00, 90.00 degrees
Element x y z (fractional)
Ca1 0.000 0.000 0.000
Mg1 0.000 0.500 0.500
Mg2 0.500 0.000 0.500
Mo1 0.500 0.500 0.500
Cl1 0.500 0.500 0.000

For the mass density, the calculation gives 2.9 g/cm³. The uncorrected formation energy is 1.713 eV per formula unit.

# 3
DyGa2Co3 | meta-GGA SCAN | PBEsol geometry

Cell lengths 5.122, 5.122, 3.726 Å; angles 90.00, 90.00, 120.00 degrees
Element x y z (fractional)
Dy1 0.000 0.000 0.000
Ga1 0.333 0.667 0.000
Ga2 0.667 0.333 0.000
Co1 0.000 0.500 0.500
Co2 0.500 0.000 0.500
Co3 0.500 0.500 0.500

For the mass density, the calculation gives 9.4 g/cm³. The raw total energy comes out at -22.40 eV per atom.

# 4
TaBrF2 | meta-GGA SCAN | PBEsol geometry

Cell lengths 7.525, 7.525, 7.525 Å; angles 145.87, 145.87, 49.05 degrees
Element x y z (fractional)
Ta1 0.375 0.625 0.750
Ta2 0.625 0.375 0.250
Br1 0.125 0.875 0.250
Br2 0.875 0.125 0.750
F1 0.000 0.500 0.500
F2 0.500 0.000 0.000
F3 0.500 0.500 0.000
F4 0.500 0.500 0.500

For the mass density, the calculation gives 7.4 g/cm³. The uncorrected formation energy is -6.054 eV per formula unit.

# 5
YZn3Os | meta-GGA SCAN | PBEsol geometry

Cell lengths 4.682, 4.682, 4.682 Å; angles 90.00, 90.00, 90.00 degrees
Element x y z (fractional)
Y1 0.000 0.000 0.000
Zn1 0.000 0.500 0.500
Zn2 0.500 0.000 0.500
Zn3 0.500 0.500 0.000
Os1 0.500 0.500 0.500

For the mass density, the calculation gives 7.7 g/cm³. The raw total energy comes out at -28.01 eV per atom.

# 6
CaB2F8 | meta-GGA SCAN | PBEsol geometry

Cell lengths 8.887, 13.289, 9.254 Å; angles 90.00, 90.00, 90.00 degrees
Element x y z (fractional)
Ca1 0.218 0.104 0.033
Ca2 0.218 0.396 0.533
Ca3 0.282 0.604 0.033
Ca4 0.282 0.896 0.533
Ca5 0.718 0.104 0.467
Ca6 0.718 0.396 0.967
Ca7 0.782 0.604 0.467
Ca8 0.782 0.896 0.967
B1 0.005 0.059 0.721
B2 0.005 0.441 0.221
B3 0.178 0.657 0.395
B4 0.178 0.843 0.895
B5 0.322 0.157 0.395
B6 0.322 0.343 0.895
B7 0.495 0.559 0.721
B8 0.495 0.941 0.221
B9 0.505 0.059 0.779
B10 0.505 0.441 0.279
B11 0.678 0.657 0.105
B12 0.678 0.843 0.605
B13 0.822 0.157 0.105
B14 0.822 0.343 0.605
B15 0.995 0.559 0.779
B16 0.995 0.941 0.279
F1 0.021 0.668 0.415
F2 0.021 0.832 0.915
F3 0.080 0.619 0.874
F4 0.080 0.881 0.374
F5 0.086 0.513 0.142
F6 0.086 0.987 0.642
F7 0.094 0.508 0.683
F8 0.094 0.992 0.183
F9 0.102 0.120 0.803
F10 0.102 0.380 0.303
F11 0.216 0.680 0.251
F12 0.216 0.820 0.751
F13 0.221 0.558 0.425
F14 0.221 0.942 0.925
F15 0.246 0.224 0.488
F16 0.246 0.276 0.988
F17 0.254 0.724 0.488
F18 0.254 0.776 0.988
F19 0.279 0.058 0.425
F20 0.279 0.442 0.925
F21 0.284 0.180 0.251
F22 0.284 0.320 0.751
F23 0.398 0.620 0.803
F24 0.398 0.880 0.303
F25 0.406 0.008 0.683
F26 0.406 0.492 0.183
F27 0.414 0.013 0.142
F28 0.414 0.487 0.642
F29 0.420 0.119 0.874
F30 0.420 0.381 0.374
F31 0.479 0.168 0.415
F32 0.479 0.332 0.915
F33 0.521 0.668 0.085
F34 0.521 0.832 0.585
F35 0.580 0.619 0.626
F36 0.580 0.881 0.126
F37 0.586 0.513 0.358
F38 0.586 0.987 0.858
F39 0.594 0.508 0.817
F40 0.594 0.992 0.317
F41 0.602 0.120 0.697
F42 0.602 0.380 0.197
F43 0.716 0.680 0.249
F44 0.716 0.820 0.749
F45 0.721 0.558 0.075
F46 0.721 0.942 0.575
F47 0.746 0.224 0.012
F48 0.746 0.276 0.512
F49 0.754 0.724 0.012
F50 0.754 0.776 0.512
F51 0.779 0.058 0.075
F52 0.779 0.442 0.575
F53 0.784 0.180 0.249
F54 0.784 0.320 0.749
F55 0.898 0.620 0.697
F56 0.898 0.880 0.197
F57 0.906 0.008 0.817
F58 0.906 0.492 0.317
F59 0.914 0.013 0.358
F60 0.914 0.487 0.858
F61 0.920 0.119 0.626
F62 0.920 0.381 0.126
F63 0.979 0.168 0.085
F64 0.979 0.332 0.585

For the mass density, the calculation gives 2.6 g/cm³. The uncorrected formation energy is -37.358 eV per formula unit.

# 7
CdSiC2O | meta-GGA SCAN | PBEsol geometry

Cell lengths 4.181, 4.181, 4.135 Å; angles 90.00, 90.00, 90.00 degrees
Element x y z (fractional)
Cd1 0.000 0.000 0.000
Si1 0.500 0.500 0.500
C1 0.000 0.500 0.000
C2 0.500 0.000 0.000
O1 0.000 0.000 0.500

For the mass density, the calculation gives 4.1 g/cm³. The uncorrected formation energy is 12.819 eV per formula unit.

# 8
La2AlCr | meta-GGA SCAN | PBEsol geometry

Cell lengths 3.576, 4.735, 6.351 Å; angles 90.00, 105.27, 90.00 degrees
Element x y z (fractional)
La1 0.000 0.000 0.000
La2 0.287 0.500 0.607
Al1 0.587 0.500 0.185
Cr1 0.695 0.000 0.415

For the mass density, the calculation gives 5.7 g/cm³. The raw total energy comes out at -28.18 eV per atom.

# 9
Y2Mg | meta-GGA SCAN | PBEsol geometry

Cell lengths 3.476, 3.476, 8.248 Å; angles 90.00, 90.00, 120.00 degrees
Element x y z (fractional)
Y1 0.333 0.667 0.327
Y2 0.667 0.333 0.673
Mg1 0.000 0.000 0.000

For the mass density, the calculation gives 3.9 g/cm³. The raw total energy comes out at -20.21 eV per atom.

# 10
AgSn2GeAs | meta-GGA SCAN | PBEsol geometry

Cell lengths 5.235, 5.235, 4.975 Å; angles 90.00, 90.00, 90.00 degrees
Element x y z (fractional)
Ag1 0.000 0.000 0.000
Sn1 0.000 0.500 0.500
Sn2 0.500 0.000 0.500
Ge1 0.500 0.500 0.000
As1 0.500 0.500 0.500

For the mass density, the calculation gives 6.0 g/cm³. The raw total energy comes out at -27.70 eV per atom.

# 11
K2CdAu | meta-GGA SCAN | PBEsol geometry

Cell lengths 6.804, 6.804, 5.580 Å; angles 114.15, 114.15, 34.11 degrees
Element x y z (fractional)
K1 0.000 0.000 0.000
K2 0.196 0.196 0.694
Cd1 0.790 0.790 0.289
Au1 0.452 0.452 0.453

For the mass density, the calculation gives 4.9 g/cm³. The raw total energy comes out at -29.31 eV per atom.

# 12
CaCoRe2 | meta-GGA SCAN | PBEsol geometry

Cell lengths 5.176, 5.176, 5.176 Å; angles 145.25, 125.20, 66.54 degrees
Element x y z (fractional)
Ca1 0.000 0.000 0.000
Co1 0.730 0.230 0.500
Re1 0.287 0.787 0.500
Re2 0.511 0.511 0.000

For the mass density, the calculation gives 12.3 g/cm³. The raw total energy comes out at -41.58 eV per atom.

# 13
TaH3W | meta-GGA SCAN | PBEsol geometry

Cell lengths 3.485, 3.485, 3.485 Å; angles 90.00, 90.00, 90.00 degrees
Element x y z (fractional)
Ta1 0.000 0.000 0.000
H1 0.000 0.000 0.500
H2 0.000 0.500 0.000
H3 0.500 0.000 0.000
W1 0.500 0.500 0.500

For the mass density, the calculation gives 14.4 g/cm³. The raw total energy comes out at -28.63 eV per atom.

# 14
LiRh3 | meta-GGA SCAN | PBEsol geometry

Cell lengths 2.620, 4.031, 5.017 Å; angles 90.00, 103.71, 90.00 degrees
Element x y z (fractional)
Li1 0.000 0.000 0.000
Rh1 0.000 0.000 0.500
Rh2 0.383 0.500 0.240
Rh3 0.617 0.500 0.760

For the mass density, the calculation gives 10.2 g/cm³. The raw total energy comes out at -25.97 eV per atom.

# 15
AgHgIr2 | meta-GGA SCAN | PBEsol geometry

Cell lengths 2.771, 4.829, 4.784 Å; angles 90.00, 90.33, 90.00 degrees
Element x y z (fractional)
Ag1 0.000 0.000 0.000
Hg1 0.500 0.000 0.500
Ir1 0.254 0.500 0.757
Ir2 0.746 0.500 0.243

For the mass density, the calculation gives 18.0 g/cm³. The raw total energy comes out at -59.93 eV per atom.

# 16
V9O22 | meta-GGA SCAN | PBEsol geometry

Cell lengths 10.133, 3.582, 21.257 Å; angles 90.00, 101.99, 90.00 degrees
Element x y z (fractional)
V1 0.034 0.250 0.438
V2 0.036 0.250 0.868
V3 0.195 0.250 0.753
V4 0.200 0.250 0.186
V5 0.225 0.250 0.590
V6 0.353 0.250 0.072
V7 0.380 0.250 0.473
V8 0.385 0.250 0.906
V9 0.449 0.750 0.783
V10 0.551 0.250 0.217
V11 0.615 0.750 0.094
V12 0.620 0.750 0.527
V13 0.647 0.750 0.928
V14 0.775 0.750 0.410
V15 0.800 0.750 0.814
V16 0.805 0.750 0.247
V17 0.964 0.750 0.132
V18 0.966 0.750 0.562
O1 0.000 0.250 0.546
O2 0.000 0.750 0.454
O3 0.002 0.250 0.155
O4 0.036 0.250 0.751
O5 0.058 0.250 0.944
O6 0.061 0.250 0.368
O7 0.163 0.750 0.163
O8 0.170 0.750 0.579
O9 0.193 0.250 0.064
O10 0.208 0.250 0.489
O11 0.209 0.250 0.673
O12 0.214 0.250 0.858
O13 0.232 0.250 0.261
O14 0.251 0.750 0.768
O15 0.354 0.250 0.398
O16 0.363 0.250 0.981
O17 0.372 0.250 0.167
O18 0.384 0.250 0.594
O19 0.409 0.750 0.075
O20 0.419 0.750 0.894
O21 0.420 0.750 0.496
O22 0.422 0.250 0.803
O23 0.476 0.750 0.713
O24 0.524 0.250 0.287
O25 0.578 0.750 0.197
O26 0.580 0.250 0.504
O27 0.581 0.250 0.106
O28 0.591 0.250 0.925
O29 0.616 0.750 0.406
O30 0.628 0.750 0.833
O31 0.637 0.750 0.019
O32 0.646 0.750 0.602
O33 0.749 0.250 0.232
O34 0.768 0.750 0.739
O35 0.786 0.750 0.142
O36 0.791 0.750 0.327
O37 0.792 0.750 0.511
O38 0.807 0.750 0.936
O39 0.830 0.250 0.421
O40 0.837 0.250 0.837
O41 0.939 0.750 0.632
O42 0.942 0.750 0.056
O43 0.964 0.750 0.249
O44 0.998 0.750 0.845

For the mass density, the calculation gives 3.6 g/cm³. The uncorrected formation energy is -76.549 eV per formula unit.

# 17
Cd2POs | meta-GGA SCAN | PBEsol geometry

Cell lengths 9.984, 9.984, 9.984 Å; angles 16.24, 16.24, 16.24 degrees
Element x y z (fractional)
Cd1 0.247 0.247 0.247
Cd2 0.753 0.753 0.753
P1 0.000 0.000 0.000
Os1 0.500 0.500 0.500

For the mass density, the calculation gives 10.9 g/cm³. The raw total energy comes out at -35.12 eV per atom.

# 18
As2IrPd | meta-GGA SCAN | PBEsol geometry

Cell lengths 4.418, 4.418, 4.418 Å; angles 60.00, 60.00, 60.00 degrees
Element x y z (fractional)
As1 0.250 0.250 0.250
As2 0.750 0.750 0.750
Ir1 0.000 0.000 0.000
Pd1 0.500 0.500 0.500

For the mass density, the calculation gives 12.2 g/cm³. The raw total energy comes out at -36.05 eV per atom.

# 19
Tl2MoO4 | meta-GGA SCAN | PBEsol geometry

Cell lengths 6.085, 6.085, 7.941 Å; angles 91.75, 91.75, 64.00 degrees
Element x y z (fractional)
Tl1 0.000 0.000 0.000
Tl2 0.294 0.379 0.677
Tl3 0.621 0.706 0.323
Tl4 0.955 0.045 0.500
Mo1 0.317 0.360 0.192
Mo2 0.640 0.683 0.808
O1 0.184 0.646 0.301
O2 0.196 0.397 0.984
O3 0.252 0.143 0.297
O4 0.354 0.816 0.699
O5 0.603 0.804 0.016
O6 0.636 0.271 0.198
O7 0.729 0.364 0.802
O8 0.857 0.748 0.703

For the mass density, the calculation gives 7.2 g/cm³. The uncorrected formation energy is -11.658 eV per formula unit.

# 20
SrCaZnBr2 | meta-GGA SCAN | PBEsol geometry

Cell lengths 5.544, 5.544, 5.783 Å; angles 90.00, 90.00, 90.00 degrees
Element x y z (fractional)
Sr1 0.000 0.000 0.000
Ca1 0.500 0.500 0.000
Zn1 0.000 0.000 0.500
Br1 0.000 0.500 0.500
Br2 0.500 0.000 0.500

For the mass density, the calculation gives 3.3 g/cm³. The uncorrected formation energy is -1.422 eV per formula unit.